Here is a relaxed structure of LiZnCrF6 from the Alexandria database. Energies are from PBE+U.

Summary:
For the total DFT energy (no corrections), the calculation gives -91.2 eV per cell. Its density of states at the Fermi level is 0.000 states/eV per atom. As for the spin magnetization: 6.000 μB per cell.

Unit cell a=5.2248 b=5.2248 c=8.9957 alpha=90.00 beta=90.00 gamma=120.00
Space group P-31c (No. 163)
Symmetry-distinct sites (fractional):
Li: 0.0000 0.0000 0.0000 x2
Zn: 0.3333 0.6667 0.2500 x2
Cr: 0.3333 0.6667 0.7500 x2
F: 0.0168 0.3543 0.6324 x12